A plane-wave DFT calculation with PBE was carried out for a geometry-optimized YMg4Cu8 structure.

Properties
Energy of formation (eV per formula unit): 0.28
E above lowest polymorph (kJ/mol of formula units): 116
Density of states at the Fermi level (states/eV/f.u.): 6.56
V (Å³ per atom): 15.97

a b c (Å): 6.768 6.768 6.768
angles (deg): 99.11 99.11 133.09
Fractional coordinates of all 13 atoms:
1 Y 0.000 0.000 0.000
2 Mg 0.500 0.000 0.000
3 Mg 0.000 0.500 0.000
4 Mg 0.000 0.000 0.500
5 Mg 0.500 0.500 0.500
6 Cu 0.359 0.000 0.359
7 Cu 0.641 0.000 0.641
8 Cu 0.000 0.641 0.641
9 Cu 0.000 0.359 0.359
10 Cu 0.289 0.500 0.789
11 Cu 0.711 0.500 0.211
12 Cu 0.500 0.711 0.211
13 Cu 0.500 0.289 0.789

***

A plane-wave DFT calculation with PBE was carried out for a geometry-optimized La3IrPb2 structure.

Properties
Energy of formation (eV per formula unit): -3.34
E above lowest polymorph (kJ/mol of formula units): 54
Density of states at the Fermi level (states/eV/f.u.): 3.95
V (Å³ per atom): 31.31

a b c (Å): 6.517 8.891 7.580
angles (deg): 106.80 115.46 90.00
Fractional coordinates of all 12 atoms:
1 La 0.333 0.250 0.000
2 La 0.667 0.750 0.000
3 La 0.038 0.128 0.308
4 La 0.730 0.372 0.692
5 La 0.270 0.628 0.308
6 La 0.962 0.872 0.692
7 Ir 0.115 0.750 0.000
8 Ir 0.885 0.250 0.000
9 Pb 0.783 0.508 0.300
10 Pb 0.517 0.008 0.300
11 Pb 0.483 0.992 0.700
12 Pb 0.217 0.492 0.700

***

A plane-wave DFT calculation with PBE was carried out for a geometry-optimized Pr12SmTm3 structure.

Properties
Energy of formation (eV per formula unit): 0.20
Density of states at the Fermi level (states/eV/f.u.): 23.80
V (Å³ per atom): 34.76

a b c (Å): 5.184 5.184 20.693
angles (deg): 90.00 90.00 90.00
Fractional coordinates of all 16 atoms:
1 Pr 0.500 0.500 0.000
2 Pr 0.500 0.500 0.252
3 Pr 0.500 0.500 0.500
4 Pr 0.500 0.500 0.748
5 Pr 0.500 0.000 0.127
6 Pr 0.500 0.000 0.376
7 Pr 0.500 0.000 0.624
8 Pr 0.500 0.000 0.873
9 Pr 0.000 0.500 0.127
10 Pr 0.000 0.500 0.376
11 Pr 0.000 0.500 0.624
12 Pr 0.000 0.500 0.873
13 Sm 0.000 0.000 0.000
14 Tm 0.000 0.000 0.251
15 Tm 0.000 0.000 0.500
16 Tm 0.000 0.000 0.749

***

A plane-wave DFT calculation with PBE was carried out for a geometry-optimized Tb4Ga3Os structure.

Properties
Energy of formation (eV per formula unit): -4.03
Density of states at the Fermi level (states/eV/f.u.): 6.70
V (Å³ per atom): 23.53

a b c (Å): 4.167 4.222 10.702
angles (deg): 90.00 90.00 90.00
Fractional coordinates of all 8 atoms:
1 Os 0.500 0.500 0.069
2 Tb 0.500 0.500 0.346
3 Tb 0.000 0.500 0.869
4 Tb 0.000 0.000 0.139
5 Tb 0.500 0.000 0.644
6 Ga 0.000 0.500 0.575
7 Ga 0.000 0.000 0.428
8 Ga 0.500 0.000 0.930